Entry 1:
VASP calculation (GGA-PBE) on a geometry-optimized Nb4VMo4 structure.

Results
energy of formation from the pure elements = 639 meV/atom
ρ = 8.1 g/cm3
E = -9.664 eV per atom

Cell: 7.8833 7.8833 5.3094 Å, 90.00 90.00 90.00°
Last column: nearest neighbours and their distance in Å.
Space group P4_2/nmc (No. 137, origin choice 2)
Symmetry-distinct sites (fractional):
Nb: 0.0653 0.2500 0.1211 [8 per cell]  1 V 2.58, 4 Mo 2.73-2.87
V: 0.2500 0.7500 0.7500 [2 per cell]  4 Nb 2.58, 4 Mo 2.59
Mo: 0.0484 0.7500 0.3646 [8 per cell]  2 Mo 2.56, 1 V 2.59, 3 Nb 2.73-2.77


Entry 2:
VASP calculation (GGA-PBE) on a geometry-optimized Nb2V3Mo8 structure.

Results
energy of formation from the pure elements = 500 meV/atom
ρ = 8.4 g/cm3
E = -9.819 eV per atom

Cell: 11.8102 7.3585 5.1120 Å, 90.00 98.55 90.00°
Last column: nearest neighbours and their distance in Å.
Space group C2/m (No. 12)
Symmetry-distinct sites (fractional):
Nb: 0.1978 0.0000 0.2343 [4 per cell]  3 Mo 2.54-2.70, 2 V 2.77
V: 0.0000 0.0000 0.5000 [2 per cell]  6 Mo 2.49-2.66
V: 0.0000 0.1726 0.0000 [4 per cell]  1 V 2.54, 4 Mo 2.70-2.72, 2 Nb 2.77
Mo: 0.0929 0.5000 0.9199 [4 per cell]  1 Mo 2.45, 2 V 2.70, 1 Nb 2.70
Mo: 0.1091 0.3130 0.4608 [8 per cell]  2 V 2.66-2.72, 5 Mo 2.67-2.95, 2 Nb 2.85-2.91
Mo: 0.1997 0.0000 0.7384 [4 per cell]  1 V 2.49, 2 Nb 2.54-2.57


Entry 3:
VASP calculation (GGA-PBE) on a geometry-optimized NbVMo2 structure.

Results
energy of formation from the pure elements = -109 meV/atom
ρ = 8.9 g/cm3
E above lowest polymorph = 1 kJ/mol of formula units
E = -10.322 eV per atom

Cell: 3.1586 3.1586 6.3105 Å, 90.00 90.00 90.00°
Last column: nearest neighbours and their distance in Å.
Space group P4/mmm (No. 123)
Symmetry-distinct sites (fractional):
Nb: 0.0000 0.0000 0.0000 [1 per cell]  8 Mo 2.77
V: 0.0000 0.0000 0.5000 [1 per cell]  8 Mo 2.70
Mo: 0.5000 0.5000 0.2603 [2 per cell]  4 V 2.70, 4 Nb 2.77


Entry 4:
VASP calculation (GGA-PBE) on a geometry-optimized Nb2VMo8 structure.

Results
energy of formation from the pure elements = -90 meV/atom
ρ = 9.5 g/cm3
E = -10.627 eV per atom

Cell: 2.7585 6.9278 9.3727 Å, 92.08 95.72 97.74°
Last column: nearest neighbours and their distance in Å.
Space group P1 (No. 1)
Symmetry-distinct sites (fractional):
Nb: 0.0000 0.0000 0.0000 [1 per cell]  5 Mo 2.73-2.80, 2 Nb 2.76, 1 V 2.76
Nb: 0.2819 0.4587 0.3672 [1 per cell]  6 Mo 2.76-2.80, 2 Nb 2.76
V: 0.1844 0.6361 0.9085 [1 per cell]  5 Mo 2.67-2.75, 2 V 2.76, 1 Nb 2.76
Mo: 0.0990 0.8236 0.4583 [1 per cell]  7 Mo 2.72-2.79, 1 Nb 2.77
Mo: 0.3722 0.2811 0.8201 [1 per cell]  6 Mo 2.70-2.80, 1 V 2.70, 1 Nb 2.78
Mo: 0.4634 0.0928 0.2760 [1 per cell]  6 Mo 2.73-2.80, 2 Nb 2.77-2.78
Mo: 0.5496 0.9102 0.7290 [1 per cell]  6 Mo 2.72-2.80, 1 Nb 2.73, 1 V 2.74
Mo: 0.6405 0.7290 0.1811 [1 per cell]  5 Mo 2.72-2.79, 2 Nb 2.73-2.76, 1 V 2.75
Mo: 0.7361 0.5501 0.6437 [1 per cell]  1 V 2.67, 6 Mo 2.70-2.78, 1 Nb 2.78
Mo: 0.8186 0.3708 0.0886 [1 per cell]  5 Mo 2.70-2.80, 1 V 2.70, 2 Nb 2.80
Mo: 0.9135 0.1827 0.5499 [1 per cell]  7 Mo 2.73-2.78, 1 Nb 2.77